1.
Density functional theory data (PBE-GGA) for a geometry-optimized LiInTeP2 structure.

Unit cell a=5.2569 b=5.2569 c=4.8823 alpha=90.00 beta=90.00 gamma=90.00
Closest atoms and distances in Å follow each position.
Atoms (fractional coordinates):
Li 0.0000 0.0000 0.0000  2 Te 2.44
In 0.5000 0.5000 0.0000  8 P 3.59, 4 Li 3.72
Te 0.0000 0.0000 0.5000  2 Li 2.44, 4 P 2.63
P 0.0000 0.5000 0.5000  2 Te 2.63
P 0.5000 0.0000 0.5000  2 Te 2.63

Values from the calculation:
* theoretical density: 3.83 Mg/m³
* SG: P4/mmm
* ΔE_f (raw): 2.5 eV per formula unit
* magnetization: 0.000 μB per atom

---

2.
Density functional theory data (PBE-GGA) for a geometry-optimized ScTeRu3 structure.

Unit cell a=4.6574 b=4.6574 c=4.6574 alpha=90.00 beta=90.00 gamma=90.00
Closest atoms and distances in Å follow each position.
Atoms (fractional coordinates):
Sc 0.0000 0.0000 0.0000  6 Ru 2.33
Te 0.5000 0.5000 0.5000  12 Ru 3.29
Ru 0.0000 0.0000 0.5000  2 Sc 2.33
Ru 0.0000 0.5000 0.0000  2 Sc 2.33
Ru 0.5000 0.0000 0.0000  2 Sc 2.33

Values from the calculation:
* theoretical density: 7.82 Mg/m³
* SG: Pm-3m
* ΔE_f (raw): 6.9 eV per formula unit
* magnetization: 0.000 μB per atom

---

3.
Density functional theory data (PBE-GGA) for a geometry-optimized PmSmHo2Tm2 structure.

Unit cell a=6.5914 b=17.5739 c=3.3788 alpha=90.00 beta=90.00 gamma=90.00
Closest atoms and distances in Å follow each position.
Atoms (fractional coordinates):
Pm 0.0000 0.0000 0.0000  2 Ho 3.20, 2 Pm 3.38, 2 Tm 3.53
Pm 0.5000 0.5000 0.5000  2 Ho 3.20, 2 Pm 3.38, 2 Tm 3.53
Sm 0.0000 0.5000 0.0000  2 Sm 3.38, 4 Ho 3.49, 4 Pm 3.70
Sm 0.5000 0.0000 0.5000  2 Sm 3.38, 4 Ho 3.49, 4 Pm 3.70
Ho 0.2290 0.3487 0.5000  1 Pm 3.20, 4 Tm 3.33-3.39, 2 Ho 3.38, 2 Sm 3.49
Ho 0.2710 0.8487 0.0000  1 Pm 3.20, 4 Tm 3.33-3.39, 2 Ho 3.38, 2 Sm 3.49
Ho 0.7290 0.1513 0.0000  1 Pm 3.20, 4 Tm 3.33-3.39, 2 Ho 3.38, 2 Sm 3.49
Ho 0.7710 0.6513 0.5000  1 Pm 3.20, 4 Tm 3.33-3.39, 2 Ho 3.38, 2 Sm 3.49
Tm 0.2309 0.1815 0.0000  4 Ho 3.33-3.39, 2 Tm 3.38, 1 Pm 3.53
Tm 0.2691 0.6815 0.5000  4 Ho 3.33-3.39, 2 Tm 3.38, 1 Pm 3.53
Tm 0.7309 0.3185 0.5000  4 Ho 3.33-3.39, 2 Tm 3.38, 1 Pm 3.53
Tm 0.7691 0.8185 0.0000  4 Ho 3.33-3.39, 2 Tm 3.38, 1 Pm 3.53

Values from the calculation:
* theoretical density: 8.17 Mg/m³
* SG: Pnnm
* magnetization: 0.000 μB per atom
* formation energy from the elements: 283 meV/atom

---

4.
Density functional theory data (PBE-GGA) for a geometry-optimized CsEuO structure.

Unit cell a=3.8891 b=3.8891 c=7.6349 alpha=90.00 beta=90.00 gamma=120.00
Closest atoms and distances in Å follow each position.
Atoms (fractional coordinates):
Cs 0.0000 0.0000 0.0000  3 O 3.24
Eu 0.6667 0.3333 0.4183  3 O 2.40
O 0.3333 0.6667 0.3063  3 Eu 2.40

Values from the calculation:
* theoretical density: 5.00 Mg/m³
* SG: P3m1
* ΔE_f (raw): -4.5 eV per formula unit
* magnetization: 2.376 μB per atom

---

5.
Density functional theory data (PBE-GGA) for a geometry-optimized Ga2Sn2Pt5 structure.

Unit cell a=6.6942 b=6.6942 c=6.9048 alpha=119.53 beta=119.53 gamma=38.30
Closest atoms and distances in Å follow each position.
Atoms (fractional coordinates):
Ga 0.1770 0.1770 0.4206  5 Pt 2.49-2.67, 2 Ga 2.71
Ga 0.8230 0.8230 0.5794  5 Pt 2.49-2.67, 2 Ga 2.71
Sn 0.3572 0.3572 0.0052  6 Pt 2.71-2.90
Sn 0.6428 0.6428 0.9948  6 Pt 2.71-2.90
Pt 0.0000 0.0000 0.0000  2 Ga 2.58, 2 Pt 2.85, 4 Sn 2.86
Pt 0.1074 0.1074 0.7252  1 Ga 2.67, 3 Sn 2.71-2.76, 4 Pt 2.85-2.89
Pt 0.4104 0.4104 0.5624  3 Ga 2.49-2.58
Pt 0.5896 0.5896 0.4376  3 Ga 2.49-2.58
Pt 0.8926 0.8926 0.2748  1 Ga 2.67, 3 Sn 2.71-2.76, 4 Pt 2.85-2.89

Values from the calculation:
* theoretical density: 13.73 Mg/m³
* SG: C2/m
* magnetization: 0.000 μB per atom
* formation energy from the elements: -421 meV/atom

---

6.
Density functional theory data (PBE-GGA) for a geometry-optimized Nd3ReN5 structure.

Unit cell a=7.5376 b=7.5376 c=7.5376 alpha=126.31 beta=126.31 gamma=79.37
Closest atoms and distances in Å follow each position.
Atoms (fractional coordinates):
Nd 0.1733 0.6733 0.8467  4 N 2.44-2.52
Nd 0.2500 0.2500 0.0000  10 N 2.84-2.90
Nd 0.3267 0.1733 0.5000  4 N 2.44-2.52
Nd 0.6733 0.8267 0.5000  4 N 2.44-2.52
Nd 0.7500 0.7500 0.0000  10 N 2.84-2.90
Nd 0.8267 0.3267 0.1533  4 N 2.44-2.52
Re 0.2500 0.7500 0.5000  4 N 1.85
Re 0.7500 0.2500 0.5000  4 N 1.85
N 0.0000 0.0000 0.0000  4 Nd 2.52
N 0.0006 0.7993 0.5000  1 Re 1.85
N 0.2007 0.7007 0.2013  1 Re 1.85
N 0.2993 0.5006 0.5000  1 Re 1.85
N 0.4994 0.9994 0.7987  1 Re 1.85
N 0.5000 0.5000 0.0000  4 Nd 2.52
N 0.5006 0.0006 0.2013  1 Re 1.85
N 0.7007 0.4994 0.5000  1 Re 1.85
N 0.7993 0.2993 0.7987  1 Re 1.85
N 0.9994 0.2007 0.5000  1 Re 1.85

Values from the calculation:
* theoretical density: 8.51 Mg/m³
* SG: I4/mcm
* ΔE_f (raw): -8.9 eV per formula unit
* magnetization: 0.000 μB per atom

---

7.
Density functional theory data (PBE-GGA) for a geometry-optimized Th3TiTl3Te8 structure.

Unit cell a=9.9499 b=9.9499 c=9.9499 alpha=51.50 beta=51.50 gamma=51.50
Closest atoms and distances in Å follow each position.
Atoms (fractional coordinates):
Th 0.0000 0.5000 0.5000  6 Te 3.14-3.18
Th 0.5000 0.0000 0.5000  6 Te 3.14-3.18
Th 0.5000 0.5000 0.0000  6 Te 3.14-3.18
Ti 0.0000 0.0000 0.0000  6 Te 2.94
Tl 0.0000 0.0000 0.5000  6 Te 3.42-3.49
Tl 0.0000 0.5000 0.0000  6 Te 3.42-3.49
Tl 0.5000 0.0000 0.0000  6 Te 3.42-3.49
Te 0.2251 0.2251 0.7580  1 Ti 2.94, 2 Th 3.14
Te 0.2251 0.7580 0.2251  1 Ti 2.94, 2 Th 3.14
Te 0.2420 0.7749 0.7749  1 Ti 2.94, 2 Th 3.14
Te 0.2571 0.2571 0.2571  3 Th 3.18, 3 Tl 3.42
Te 0.7429 0.7429 0.7429  3 Th 3.18, 3 Tl 3.42
Te 0.7580 0.2251 0.2251  1 Ti 2.94, 2 Th 3.14
Te 0.7749 0.2420 0.7749  1 Ti 2.94, 2 Th 3.14
Te 0.7749 0.7749 0.2420  1 Ti 2.94, 2 Th 3.14

Values from the calculation:
* theoretical density: 7.09 Mg/m³
* SG: R-3m
* ΔE_f (raw): -12.3 eV per formula unit
* magnetization: 0.124 μB per atom

---

8.
Density functional theory data (PBE-GGA) for a geometry-optimized La2PaSb structure.

Unit cell a=4.8974 b=4.8974 c=4.7892 alpha=90.00 beta=90.00 gamma=90.00
Closest atoms and distances in Å follow each position.
Atoms (fractional coordinates):
La 0.0000 0.5000 0.0000  4 Pa 3.42, 4 Sb 3.42, 4 La 3.46
La 0.5000 0.0000 0.0000  4 Pa 3.42, 4 Sb 3.42, 4 La 3.46
Pa 0.0000 0.0000 0.5000  8 La 3.42, 4 Sb 3.46
Sb 0.5000 0.5000 0.5000  8 La 3.42, 4 Pa 3.46

Values from the calculation:
* theoretical density: 9.12 Mg/m³
* SG: P4/mmm
* ΔE_f (raw): -1.3 eV per formula unit
* magnetization: 0.001 μB per atom

---

9.
Density functional theory data (PBE-GGA) for a geometry-optimized InTe2As structure.

Unit cell a=6.7992 b=6.7992 c=6.7992 alpha=142.54 beta=142.35 gamma=54.16
Closest atoms and distances in Å follow each position.
Atoms (fractional coordinates):
In 0.0000 0.0000 0.0000  4 As 3.10, 2 Te 3.17
Te 0.2622 0.2622 0.0000  1 As 2.88, 4 Te 3.11, 1 In 3.17
Te 0.7378 0.7378 0.0000  1 As 2.88, 4 Te 3.11, 1 In 3.17
As 0.5000 0.5000 0.0000  2 Te 2.88, 4 In 3.10

Values from the calculation:
* theoretical density: 6.37 Mg/m³
* SG: Immm
* ΔE_f (raw): 0.0 eV per formula unit
* magnetization: 0.000 μB per atom

---

10.
Density functional theory data (PBE-GGA) for a geometry-optimized Pr4MgTe3 structure.

Unit cell a=7.9156 b=7.9156 c=4.4424 alpha=90.00 beta=90.00 gamma=108.30
Closest atoms and distances in Å follow each position.
Atoms (fractional coordinates):
Pr 0.2448 0.2448 0.5000  4 Te 3.18-3.21, 2 Mg 3.25
Pr 0.2484 0.7516 0.0000  5 Te 3.19-3.21, 1 Mg 3.23
Pr 0.7516 0.2484 0.0000  5 Te 3.19-3.21, 1 Mg 3.23
Pr 0.7552 0.7552 0.5000  4 Te 3.18-3.21, 2 Mg 3.25
Mg 0.5000 0.5000 0.0000  6 Pr 3.23-3.25
Te 0.0000 0.0000 0.0000  6 Pr 3.18-3.19
Te 0.0000 0.5000 0.5000  6 Pr 3.21
Te 0.5000 0.0000 0.5000  6 Pr 3.21

Values from the calculation:
* theoretical density: 6.10 Mg/m³
* SG: Cmmm
* ΔE_f (raw): -8.3 eV per formula unit
* magnetization: 0.000 μB per atom

---

11.
Density functional theory data (PBE-GGA) for a geometry-optimized Ba4Na2Li structure.

Unit cell a=11.1229 b=11.1229 c=11.1229 alpha=146.77 beta=146.77 gamma=47.70
Closest atoms and distances in Å follow each position.
Atoms (fractional coordinates):
Ba 0.0000 0.5000 0.5000  2 Li 3.18
Ba 0.1766 0.1766 0.0000  1 Li 3.59, 1 Na 4.00
Ba 0.5000 0.0000 0.5000  2 Li 3.18
Ba 0.8234 0.8234 0.0000  1 Li 3.59, 1 Na 4.00
Na 0.3732 0.3732 0.0000  5 Ba 4.00-4.10
Na 0.6268 0.6268 0.0000  5 Ba 4.00-4.10
Li 0.0000 0.0000 0.0000  4 Ba 3.18

Values from the calculation:
* theoretical density: 2.43 Mg/m³
* SG: I4/mmm
* magnetization: 0.057 μB per atom
* formation energy from the elements: 176 meV/atom

---

12.
Density functional theory data (PBE-GGA) for a geometry-optimized Rb2VHgB structure.

Unit cell a=6.7607 b=6.7607 c=4.0261 alpha=90.00 beta=90.00 gamma=90.00
Closest atoms and distances in Å follow each position.
Atoms (fractional coordinates):
Rb 0.0000 0.5000 0.0000  2 V 3.38
Rb 0.5000 0.0000 0.0000  2 V 3.38
V 0.0000 0.0000 0.0000  2 B 2.01
Hg 0.5000 0.5000 0.5000  8 Rb 3.93, 2 Hg 4.03
B 0.0000 0.0000 0.5000  2 V 2.01

Values from the calculation:
* theoretical density: 3.91 Mg/m³
* SG: P4/mmm
* magnetization: 0.514 μB per atom
* formation energy from the elements: 889 meV/atom